No. 1
# SmDy14Tl | Alexandria | PBE | optimized geometry
# V = 495.6 Å³ per cell
# Fermi-level density of states = 21.45 states/eV/cell
# Calculated formation energy = -6 meV/atom
data_SmDy14Tl
_space_group_name_H-M_alt 'P 4/m m m'
_space_group_IT_number 123
_space_group_name_Hall '-P 4 2'
_cell_length_a 7.032
_cell_length_b 7.032
_cell_length_c 10.022
_cell_angle_alpha 90.00
_cell_angle_beta 90.00
_cell_angle_gamma 90.00
loop_
_atom_site_label
_atom_site_type_symbol
_atom_site_fract_x
_atom_site_fract_y
_atom_site_fract_z
Sm1 Sm 0.000 0.000 0.000
Dy1 Dy 0.000 0.000 0.500
Dy2 Dy 0.000 0.500 0.000
Dy3 Dy 0.000 0.500 0.500
Dy4 Dy 0.250 0.250 0.249
Dy5 Dy 0.500 0.500 0.500
Tl1 Tl 0.500 0.500 0.000



No. 2
# CsRbHf3 | Alexandria | PBE | optimized geometry
# V = 168.6 Å³ per cell
# Fermi-level density of states = 11.50 states/eV/cell
# Calculated formation energy = 2293 meV/atom
# Offset from the most stable computed form = 0 meV/atom
data_CsRbHf3
_space_group_name_H-M_alt 'P m -3 m'
_space_group_IT_number 221
_space_group_name_Hall '-P 4 2 3'
_cell_length_a 5.525
_cell_length_b 5.525
_cell_length_c 5.525
_cell_angle_alpha 90.00
_cell_angle_beta 90.00
_cell_angle_gamma 90.00
loop_
_atom_site_label
_atom_site_type_symbol
_atom_site_fract_x
_atom_site_fract_y
_atom_site_fract_z
Cs1 Cs 0.000 0.000 0.000
Rb1 Rb 0.500 0.500 0.500
Hf1 Hf 0.000 0.000 0.500



No. 3
# Sm2InP | Alexandria | PBE | optimized geometry
# V = 335.0 Å³ per cell
# Fermi-level density of states = 6.69 states/eV/cell
# Calculated formation energy = -969 meV/atom
data_Sm2InP
_space_group_name_H-M_alt 'R -3 m'
_space_group_IT_number 166
_space_group_name_Hall '-R 3 2"'
_cell_length_a 4.0149
_cell_length_b 4.0149
_cell_length_c 24.0011
_cell_angle_alpha 90.00
_cell_angle_beta 90.00
_cell_angle_gamma 120.00
loop_
_atom_site_label
_atom_site_type_symbol
_atom_site_fract_x
_atom_site_fract_y
_atom_site_fract_z
Sm1 Sm 0.0000 0.0000 0.2349
In1 In 0.0000 0.0000 0.0000
P1 P 0.0000 0.0000 0.5000